An optimized crystal structure of PrYIn4. Source: Alexandria via LeMat-Bulk, functional GGA-PBE.

Output
ΔH_f (0 K): -0.3944 eV/atom

Cell: 6.060 6.060 6.060 Å, 60.00 60.00 60.00°
Atoms (fractional coordinates):
Pr1 0.000 0.000 0.000
Y1 0.250 0.250 0.250
In1 0.125 0.625 0.625
In2 0.625 0.125 0.625
In3 0.625 0.625 0.125
In4 0.625 0.625 0.625